No. 1
{
  "formula": "Ga2Si2S",
  "functional": "PBE",
  "state": "relaxed",
  "lattice_angstrom": [[-2.633, 0.267, -2.601], [3.087, -1.944, -0.678], [-4.211, -7.890, 3.452]],
  "species": ["Ga", "Ga", "Si", "Si", "S"],
  "frac_coords": [[0.333, 0.667, 0.060], [0.333, 0.667, 0.611], [0.000, 0.000, 0.258], [0.333, 0.667, 0.359], [0.667, 0.333, 0.721]],
  "total_magnetization_mub_per_atom": 0.000,
  "relative_energy_mev_per_atom": 17.1,
  "energy_ry_per_atom": -0.3158,
  "raw_formation_energy_ev_per_fu": -0.46
}

No. 2
{
  "formula": "Ga2Si2S",
  "functional": "PBE",
  "state": "relaxed",
  "lattice_angstrom": [[-3.504, 3.042, -0.706], [-2.279, -2.150, 2.049], [2.969, 1.783, 5.173]],
  "species": ["Ga", "Ga", "Si", "Si", "S"],
  "frac_coords": [[0.863, 0.500, 0.067], [0.900, 0.500, 0.678], [0.225, 0.000, 0.301], [0.538, 0.500, 0.305], [0.222, 0.000, 0.660]],
  "total_magnetization_mub_per_atom": 0.000,
  "relative_energy_mev_per_atom": 7.0,
  "energy_ry_per_atom": -0.3166,
  "raw_formation_energy_ev_per_fu": -0.51
}

No. 3
{
  "formula": "Ga2Si2S",
  "functional": "PBE",
  "state": "relaxed",
  "lattice_angstrom": [[-0.404, -3.662, -0.107], [3.060, -2.177, -0.471], [2.148, -0.474, 8.018]],
  "species": ["Ga", "Ga", "Si", "Si", "S"],
  "frac_coords": [[0.096, 0.194, 0.997], [0.447, 0.491, 0.211], [0.889, 0.607, 0.648], [0.581, 0.223, 0.758], [0.808, 0.769, 0.375]],
  "total_magnetization_mub_per_atom": 0.000,
  "relative_energy_mev_per_atom": 50.1,
  "energy_ry_per_atom": -0.3134,
  "raw_formation_energy_ev_per_fu": -0.29
}

No. 4
{
  "formula": "Ga2Si2S",
  "functional": "PBE",
  "state": "relaxed",
  "lattice_angstrom": [[-1.134, 1.913, 7.859], [-1.508, -3.295, 0.585], [5.733, -2.659, -0.202]],
  "species": ["Ga", "Ga", "Ga", "Ga", "Si", "Si", "Si", "Si", "S", "S"],
  "frac_coords": [[0.797, 0.000, 0.097], [0.203, 0.000, 0.903], [0.797, 0.500, 0.597], [0.203, 0.500, 0.403], [0.430, 0.000, 0.310], [0.570, 0.000, 0.690], [0.430, 0.500, 0.810], [0.570, 0.500, 0.190], [0.000, 0.500, 0.000], [0.000, 0.000, 0.500]],
  "total_magnetization_mub_per_atom": 0.000,
  "relative_energy_mev_per_atom": 76.7,
  "energy_ry_per_atom": -0.3114,
  "raw_formation_energy_ev_per_fu": -0.16
}

No. 5
{
  "formula": "Ga2Si2S",
  "functional": "PBE",
  "state": "relaxed",
  "lattice_angstrom": [[3.474, 0.000, 0.009], [0.000, 3.411, 0.000], [0.015, 0.000, 16.505]],
  "species": ["Ga", "Ga", "Ga", "Ga", "Si", "Si", "Si", "Si", "S", "S"],
  "frac_coords": [[0.351, 0.000, 0.783], [0.351, 0.500, 0.283], [0.839, 0.000, 0.366], [0.839, 0.500, 0.866], [0.841, 0.000, 0.097], [0.841, 0.500, 0.597], [0.340, 0.000, 0.634], [0.340, 0.500, 0.134], [0.957, 0.000, 0.966], [0.957, 0.500, 0.466]],
  "total_magnetization_mub_per_atom": 0.000,
  "relative_energy_mev_per_atom": 166.0,
  "energy_ry_per_atom": -0.3049,
  "raw_formation_energy_ev_per_fu": 0.29
}

No. 6
{
  "formula": "Ga2Si2S",
  "functional": "PBE",
  "state": "relaxed",
  "lattice_angstrom": [[-2.969, -1.493, 1.692], [-1.421, -3.333, -1.341], [3.700, -4.725, 6.253]],
  "species": ["Ga", "Ga", "Si", "Si", "S"],
  "frac_coords": [[0.079, 0.970, 0.977], [0.488, 0.348, 0.799], [0.209, 0.348, 0.358], [0.929, 0.997, 0.264], [0.128, 0.252, 0.614]],
  "total_magnetization_mub_per_atom": 0.000,
  "relative_energy_mev_per_atom": 54.2,
  "energy_ry_per_atom": -0.3131,
  "raw_formation_energy_ev_per_fu": -0.27
}

No. 7
{
  "formula": "Ga2SiS",
  "functional": "PBE",
  "state": "relaxed",
  "lattice_angstrom": [[5.593, 0.000, 0.000], [0.000, 5.593, 0.000], [2.797, 2.797, 5.678]],
  "species": ["S", "S", "Si", "Si", "Ga", "Ga", "Ga", "Ga"],
  "frac_coords": [[0.000, 0.000, 0.000], [0.750, 0.250, 0.500], [0.500, 0.500, 0.000], [0.250, 0.750, 0.500], [0.613, 0.125, 0.250], [0.137, 0.625, 0.250], [0.375, 0.387, 0.750], [0.875, 0.863, 0.750]],
  "total_magnetization_mub_per_atom": 0.000,
  "relative_energy_mev_per_atom": 0.0,
  "energy_ry_per_atom": -0.3063,
  "raw_formation_energy_ev_per_fu": -1.07
}

No. 8
{
  "formula": "SrGaSi2S6",
  "functional": "PBE",
  "state": "relaxed",
  "lattice_angstrom": [[-4.520, 1.299, -4.074], [4.762, -1.106, -7.390], [-3.329, -8.184, -0.671]],
  "species": ["Sr", "Sr", "Ga", "Ga", "Si", "Si", "Si", "Si", "S", "S", "S", "S", "S", "S", "S", "S", "S", "S", "S", "S"],
  "frac_coords": [[0.250, 0.890, 0.110], [0.750, 0.110, 0.890], [0.250, 0.297, 0.703], [0.750, 0.703, 0.297], [0.240, 0.785, 0.628], [0.260, 0.372, 0.215], [0.760, 0.215, 0.372], [0.740, 0.628, 0.785], [0.204, 0.974, 0.783], [0.296, 0.217, 0.026], [0.796, 0.026, 0.217], [0.704, 0.783, 0.974], [0.388, 0.847, 0.417], [0.112, 0.583, 0.153], [0.612, 0.153, 0.583], [0.888, 0.417, 0.847], [0.926, 0.712, 0.585], [0.574, 0.415, 0.288], [0.074, 0.288, 0.415], [0.426, 0.585, 0.712]],
  "total_magnetization_mub_per_atom": 0.000,
  "energy_ry_per_atom": -0.3540,
  "raw_formation_energy_ev_per_fu": -7.85
}

No. 9
{
  "formula": "Tb4GaSiS2",
  "functional": "PBE",
  "state": "relaxed",
  "lattice_angstrom": [[-5.182, 2.425, -0.207], [-1.958, -3.865, 3.743], [5.016, 4.177, 2.559]],
  "species": ["Tb", "Tb", "Tb", "Tb", "Ga", "Si", "S", "S"],
  "frac_coords": [[0.004, 0.504, 0.008], [0.496, 0.996, 0.992], [0.758, 0.758, 0.517], [0.242, 0.242, 0.483], [0.500, 0.500, 0.000], [0.750, 0.250, 0.500], [0.250, 0.750, 0.500], [0.000, 0.000, 0.000]],
  "total_magnetization_mub_per_atom": 0.000,
  "energy_ry_per_atom": -0.4207,
  "raw_formation_energy_ev_per_fu": -10.56
}

No. 10
{
  "formula": "Tl2GaSiS4",
  "functional": "PBE",
  "state": "relaxed",
  "lattice_angstrom": [[6.576, -0.188, -0.012], [-0.163, 7.653, 0.005], [-3.207, -3.724, 3.977]],
  "species": ["Tl", "Tl", "Ga", "Si", "S", "S", "S", "S"],
  "frac_coords": [[0.533, 0.033, 0.067], [0.242, 0.240, 0.482], [0.925, 0.426, 0.852], [0.735, 0.736, 0.471], [0.724, 0.689, 0.769], [0.814, 0.457, 0.186], [0.370, 0.725, 0.179], [0.044, 0.080, 0.767]],
  "total_magnetization_mub_per_atom": 0.000,
  "energy_ry_per_atom": -0.3073,
  "raw_formation_energy_ev_per_fu": -3.76
}

No. 11
{
  "formula": "Tm4GaSiS2",
  "functional": "PBE",
  "state": "relaxed",
  "lattice_angstrom": [[5.620, 0.003, 0.000], [-0.003, 5.620, 0.000], [-2.809, -2.811, 5.609]],
  "species": ["Tm", "Tm", "Tm", "Tm", "Ga", "Si", "S", "S"],
  "frac_coords": [[0.004, 0.504, 0.007], [0.496, 0.996, 0.993], [0.758, 0.758, 0.515], [0.242, 0.242, 0.485], [0.500, 0.500, 0.000], [0.750, 0.250, 0.500], [0.250, 0.750, 0.500], [0.000, 0.000, 0.000]],
  "total_magnetization_mub_per_atom": 0.000,
  "energy_ry_per_atom": -0.4112,
  "raw_formation_energy_ev_per_fu": -10.17
}

No. 12
{
  "formula": "Sm3Ga5S12",
  "functional": "PBE",
  "state": "relaxed",
  "lattice_angstrom": [[13.152, 0.000, 0.000], [-4.384, 12.400, 0.000], [-4.384, -6.200, 10.739]],
  "species": ["Sm", "Sm", "Sm", "Sm", "Sm", "Sm", "Sm", "Sm", "Sm", "Sm", "Sm", "Sm", "Ga", "Ga", "Ga", "Ga", "Ga", "Ga", "Ga", "Ga", "Ga", "Ga", "Ga", "Ga", "Ga", "Ga", "Ga", "Ga", "Ga", "Ga", "Ga", "Ga", "S", "S", "S", "S", "S", "S", "S", "S", "S", "S", "S", "S", "S", "S", "S", "S", "S", "S", "S", "S", "S", "S", "S", "S", "S", "S", "S", "S", "S", "S", "S", "S", "S", "S", "S", "S", "S", "S", "S", "S", "S", "S", "S", "S", "S", "S", "S", "S"],
  "frac_coords": [[0.750, 0.375, 0.125], [0.875, 0.750, 0.125], [0.375, 0.750, 0.625], [0.250, 0.125, 0.375], [0.875, 0.125, 0.250], [0.375, 0.625, 0.250], [0.625, 0.375, 0.750], [0.125, 0.875, 0.750], [0.750, 0.875, 0.625], [0.625, 0.250, 0.375], [0.125, 0.250, 0.875], [0.250, 0.625, 0.875], [0.125, 0.375, 0.250], [0.000, 0.500, 0.000], [0.000, 0.000, 0.000], [0.375, 0.250, 0.125], [0.500, 0.000, 0.500], [0.500, 0.500, 0.000], [0.125, 0.750, 0.375], [0.750, 0.125, 0.875], [0.750, 0.625, 0.375], [0.375, 0.125, 0.750], [0.625, 0.875, 0.250], [0.500, 0.500, 0.500], [0.500, 0.000, 0.000], [0.000, 0.000, 0.500], [0.250, 0.375, 0.625], [0.250, 0.875, 0.125], [0.000, 0.500, 0.500], [0.875, 0.250, 0.625], [0.625, 0.750, 0.875], [0.875, 0.625, 0.750], [0.708, 0.122, 0.030], [0.323, 0.530, 0.408], [0.970, 0.378, 0.292], [0.530, 0.208, 0.122], [0.586, 0.708, 0.677], [0.970, 0.592, 0.177], [0.323, 0.792, 0.414], [0.092, 0.914, 0.122], [0.592, 0.970, 0.677], [0.708, 0.586, 0.177], [0.792, 0.470, 0.378], [0.823, 0.908, 0.030], [0.122, 0.708, 0.530], [0.378, 0.408, 0.086], [0.086, 0.908, 0.378], [0.414, 0.122, 0.592], [0.086, 0.177, 0.208], [0.470, 0.677, 0.092], [0.823, 0.914, 0.292], [0.122, 0.414, 0.092], [0.378, 0.970, 0.792], [0.592, 0.622, 0.414], [0.908, 0.823, 0.530], [0.792, 0.323, 0.914], [0.408, 0.378, 0.586], [0.092, 0.177, 0.470], [0.208, 0.677, 0.086], [0.177, 0.086, 0.708], [0.622, 0.030, 0.208], [0.878, 0.586, 0.908], [0.530, 0.323, 0.908], [0.586, 0.878, 0.408], [0.914, 0.823, 0.792], [0.914, 0.092, 0.622], [0.878, 0.292, 0.470], [0.177, 0.092, 0.970], [0.622, 0.592, 0.914], [0.408, 0.030, 0.323], [0.292, 0.414, 0.823], [0.208, 0.530, 0.622], [0.908, 0.086, 0.878], [0.677, 0.208, 0.586], [0.470, 0.792, 0.878], [0.030, 0.408, 0.823], [0.414, 0.292, 0.323], [0.030, 0.622, 0.708], [0.677, 0.470, 0.592], [0.292, 0.878, 0.970]],
  "total_magnetization_mub_per_atom": 0.000,
  "energy_ry_per_atom": -0.3753,
  "raw_formation_energy_ev_per_fu": -23.30
}